No. 1
DFT (PBE) results for a relaxed PmDy2Si crystal.

The structure belongs to space group P4/mmm (No. 123); the cell edges are 4.6765, 4.6765 and 4.6569 Å and the angles 90.00°, 90.00° and 90.00°. The inequivalent atoms are Pm at (0.0000, 0.0000, 0.0000), Dy at (0.0000, 0.5000, 0.5000) and Si at (0.5000, 0.5000, 0.0000).

The excess energy over the best structure of this formula in the dataset is 0.0 meV/atom. The calculation puts the formation energy from raw total energies at -0.2514 eV/atom. The calculation puts the total magnetization at 0.0 μB/cell.

***

No. 2
DFT (PBE) results for a relaxed SiTe2SeN crystal.

The structure belongs to space group P4/mmm (No. 123); the cell edges are 5.7237, 5.7237 and 3.6496 Å and the angles 90.00°, 90.00° and 90.00°. The inequivalent atoms are Si at (0.0000, 0.0000, 0.0000), Te at (0.0000, 0.5000, 0.5000), Se at (0.5000, 0.5000, 0.5000) and N at (0.5000, 0.5000, 0.0000).

The excess energy over the best structure of this formula in the dataset is 753.1 meV/atom. The calculation puts the formation energy from raw total energies at 1.1144 eV/atom. The calculation puts the total magnetization at 0.0 μB/cell.

***

No. 3
DFT (PBE) results for a relaxed Ba3UTe6Au2 crystal.

The structure belongs to space group P-3m1 (No. 164); the cell edges are 8.6204, 8.6204 and 8.9234 Å and the angles 90.00°, 90.00° and 120.00°. The inequivalent atoms are Ba at (0.0000, 0.0000, 0.0000), Ba at (0.3333, 0.6667, 0.5948), U at (0.0000, 0.0000, 0.5000), Te at (0.1570, 0.3140, 0.2883) and Au at (0.3333, 0.6667, 0.2369).

The calculation puts the formation energy from raw total energies at -0.7905 eV/atom. The calculation puts the total magnetization at 2.0 μB/cell.

***

Asked for total DFT energy (no corrections) across the records above, the calculation gives -5.0959 -3.5888 -4.3290 eV per atom in order.